Compound: KBe2Cu
Source: Alexandria
Functional: PBE-GGA
Structure: optimized geometry

```
KBe2Cu
1.0
3.111 -4.261 0.000
3.111 4.261 0.000
0.000 0.000 2.572
K Be Cu
1 2 1
direct
0.000 0.000 0.000
0.000 0.500 0.500
0.500 0.000 0.500
0.500 0.500 0.000
```

Values from the calculation:
- Magnetic moment: 0.0 μB/f.u.
- Density of states at the Fermi level: 0.426 states/eV per atom
- Energy relative to the elements: 1.199 eV/atom